Model P:
A relaxed Ca3Zn crystal, computed with GGA-PBE.

Calculated values
total moment: 0.000 μB/f.u.
space-group type: P-6m2 (187)
D(E_F): 4.02 states/eV per cell

a = 3.927 Å, b = 3.927 Å, c = 10.661 Å
α = 90.00°, β = 90.00°, γ = 120.00°
Positions (direct):
Ca (0.000, 0.000, 0.552)
Zn (0.667, 0.333, 0.750)
Ca (0.000, 0.000, 0.948)
Ca (0.667, 0.333, 0.250)

Model Q:
A relaxed Ca3Zn crystal, computed with GGA-PBE.

Calculated values
total moment: 0.000 μB/f.u.
space-group type: C2/m (12)
D(E_F): 7.94 states/eV per cell

a = 6.917 Å, b = 6.917 Å, c = 6.619 Å
α = 87.10°, β = 87.10°, γ = 114.40°
Positions (direct):
Ca (0.178, 0.530, 0.764)
Ca (0.209, 0.209, 0.316)
Ca (0.822, 0.470, 0.236)
Zn (0.887, 0.113, 0.000)
Ca (0.470, 0.822, 0.236)
Ca (0.791, 0.791, 0.684)
Zn (0.113, 0.887, 0.000)
Ca (0.530, 0.178, 0.764)

Which one sits at the bottom of the stability order? model P does.

Model P:
A relaxed Al3BiS crystal, computed with GGA-PBE.

Calculated values
total moment: 0.000 μB/f.u.
space-group type: Pm-3m (221)
D(E_F): 2.08 states/eV per cell

a = 5.543 Å, b = 5.543 Å, c = 5.543 Å
α = 90.00°, β = 90.00°, γ = 90.00°
Positions (direct):
Bi (0.000, 0.000, 0.000)
Al (0.000, 0.500, 0.000)
Al (0.000, 0.000, 0.500)
S (0.500, 0.500, 0.500)
Al (0.500, 0.000, 0.000)

Model Q:
A relaxed Al3BiS crystal, computed with GGA-PBE.

Calculated values
total moment: 0.000 μB/f.u.
space-group type: Pm-3m (221)
D(E_F): 3.42 states/eV per cell

a = 4.860 Å, b = 4.860 Å, c = 4.860 Å
α = 90.00°, β = 90.00°, γ = 90.00°
Positions (direct):
Bi (0.500, 0.500, 0.500)
Al (0.500, 0.000, 0.000)
Al (0.000, 0.500, 0.000)
Al (0.000, 0.000, 0.500)
S (0.000, 0.000, 0.000)

Which one sits at the bottom of the stability order? model P does.

Model P:
A relaxed MnFeHIrPd crystal, computed with GGA-PBE.

Calculated values
total moment: 7.170 μB/f.u.
space-group type: Amm2 (38)
D(E_F): 10.01 states/eV per cell

a = 4.293 Å, b = 2.762 Å, c = 10.089 Å
α = 90.00°, β = 90.00°, γ = 90.00°
Site moments in Bohr magnetons follow the coordinates.
Positions (direct):
Fe (0.500, 0.000, 0.843)  2.89
Mn (0.000, 0.500, 0.493)  3.54
Mn (0.000, 0.000, 0.993)  3.54
Pd (0.000, 0.000, 0.253)  0.36
H (0.500, 0.500, 0.692)  -0.01
Ir (0.500, 0.000, 0.569)  0.23
H (0.500, 0.000, 0.192)  -0.01
Ir (0.500, 0.500, 0.069)  0.23
Fe (0.500, 0.500, 0.343)  2.89
Pd (0.000, 0.500, 0.753)  0.36

Model Q:
A relaxed MnFeHIrPd crystal, computed with GGA-PBE.

Calculated values
total moment: 7.007 μB/f.u.
space-group type: Pm (6)
D(E_F): 4.40 states/eV per cell

a = 4.633 Å, b = 2.813 Å, c = 4.631 Å
α = 90.00°, β = 104.52°, γ = 90.00°
Site moments in Bohr magnetons follow the coordinates.
Positions (direct):
Ir (0.873, 0.500, 0.266)  0.27
H (0.099, 0.500, 0.012)  -0.02
Fe (0.873, 0.000, 0.748)  2.86
Pd (0.383, 0.500, 0.757)  0.34
Mn (0.387, 0.000, 0.266)  3.44

Which one sits at the bottom of the stability order? model P does.